# AsBr2

Crystalline AsBr2 at its relaxed geometry (PBE-GGA, Alexandria).

```
AsBr2
1.0
0.0000 4.2947 4.2947
4.2947 0.0000 4.2947
4.2947 4.2947 0.0000
As Br
2 4
Cartesian
1.0737 1.0737 1.0737
7.5157 7.5157 7.5157
4.2947 2.1473 2.1473
2.1473 4.2947 2.1473
2.1473 2.1473 4.2947
4.2947 4.2947 4.2947
```

## Properties
As for the crystal system: cubic. Its distance to the lowest polymorph of the same formula is 4.174 eV per formula unit. For the uncorrected formation energy, the calculation gives 1115 meV per atom. The space-group type is Fd-3m, No. 227.